Material: CuPbAu
Method: DFT, GGA-PBE
State: optimized geometry

CIF file:
```
data_CuPbAu
_chemical_formula_sum 'Cu1 Pb1 Au1'
_cell_length_a 4.498
_cell_length_b 4.498
_cell_length_c 4.498
_cell_angle_alpha 60.00
_cell_angle_beta 60.00
_cell_angle_gamma 60.00
_space_group_name_H-M_alt 'P 1'
_space_group_IT_number 1
loop_
_space_group_symop_operation_xyz
'x,y,z'
loop_
_atom_site_label
_atom_site_fract_x
_atom_site_fract_y
_atom_site_fract_z
Au1 0.500 0.500 0.500
Cu1 0.750 0.750 0.750
Pb1 0.000 0.000 0.000
```

Output
Space group: F-43m
Formation energy from the elements in eV/atom: 0.09